(1)
A plane-wave DFT calculation with PBE was carried out for an optimized crystal structure of SbCl3F.

Output
Magnetic moment (μB per formula unit): 0.00
Calculated density (g/cm³): 2.81
Energy (eV/atom): -3.271
Formation energy without anion corrections (eV per atom): -0.9647

Geometry as CIF:
```
data_SbCl3F
_symmetry_space_group_name_H-M 'C m c m'
_symmetry_Int_Tables_number 63
_symmetry_space_group_name_Hall '-C 2c 2'
_cell_length_a 8.155
_cell_length_b 9.182
_cell_length_c 7.792
_cell_angle_alpha 90.00
_cell_angle_beta 90.00
_cell_angle_gamma 90.00
loop_
_atom_site_label
_atom_site_type_symbol
_atom_site_fract_x
_atom_site_fract_y
_atom_site_fract_z
_atom_site_occupancy
Sb1 Sb 0.000 0.008 0.250 1
Cl1 Cl 0.000 0.277 0.250 1
Cl2 Cl 0.216 0.000 0.000 1
F1 F 0.000 0.205 0.750 1
```



(2)
A plane-wave DFT calculation with PBE was carried out for an optimized crystal structure of CaCoTe2I.

Output
Magnetic moment (μB per formula unit): 2.96
Calculated density (g/cm³): 3.90
Energy (eV/atom): -2.832
Formation energy without anion corrections (eV per atom): 0.5563

Geometry as CIF:
```
data_CaCoTe2I
_symmetry_space_group_name_H-M 'P 4/m m m'
_symmetry_Int_Tables_number 123
_symmetry_space_group_name_Hall '-P 4 2'
_cell_length_a 5.901
_cell_length_b 5.901
_cell_length_c 5.876
_cell_angle_alpha 90.00
_cell_angle_beta 90.00
_cell_angle_gamma 90.00
loop_
_atom_site_label
_atom_site_type_symbol
_atom_site_fract_x
_atom_site_fract_y
_atom_site_fract_z
_atom_site_occupancy
Ca1 Ca 0.000 0.000 0.000 1
Co1 Co 0.500 0.500 0.500 1
Te1 Te 0.000 0.500 0.000 1
I1 I 0.000 0.000 0.500 1
```



(3)
A plane-wave DFT calculation with PBE was carried out for an optimized crystal structure of CdCoC3.

Output
Magnetic moment (μB per formula unit): 0.00
Calculated density (g/cm³): 6.09
Energy (eV/atom): -5.046

Geometry as CIF:
```
data_CdCoC3
_symmetry_space_group_name_H-M 'P m -3 m'
_symmetry_Int_Tables_number 221
_symmetry_space_group_name_Hall '-P 4 2 3'
_cell_length_a 3.838
_cell_length_b 3.838
_cell_length_c 3.838
_cell_angle_alpha 90.00
_cell_angle_beta 90.00
_cell_angle_gamma 90.00
loop_
_atom_site_label
_atom_site_type_symbol
_atom_site_fract_x
_atom_site_fract_y
_atom_site_fract_z
_atom_site_occupancy
Cd1 Cd 0.000 0.000 0.000 1
Co1 Co 0.500 0.500 0.500 1
C1 C 0.000 0.500 0.500 1
```



(4)
A plane-wave DFT calculation with PBE was carried out for an optimized crystal structure of V2ReW.

Output
Magnetic moment (μB per formula unit): 0.00
Calculated density (g/cm³): 13.69
Energy (eV/atom): -11.147

Geometry as CIF:
```
data_V2ReW
_symmetry_space_group_name_H-M 'F m -3 m'
_symmetry_Int_Tables_number 225
_symmetry_space_group_name_Hall '-F 4 2 3'
_cell_length_a 6.118
_cell_length_b 6.118
_cell_length_c 6.118
_cell_angle_alpha 90.00
_cell_angle_beta 90.00
_cell_angle_gamma 90.00
loop_
_atom_site_label
_atom_site_type_symbol
_atom_site_fract_x
_atom_site_fract_y
_atom_site_fract_z
_atom_site_occupancy
V1 V 0.250 0.250 0.250 1
Re1 Re 0.000 0.000 0.000 1
W1 W 0.000 0.000 0.500 1
```



(5)
A plane-wave DFT calculation with PBE was carried out for an optimized crystal structure of YAlSe2.

Output
Magnetic moment (μB per formula unit): 0.00
Calculated density (g/cm³): 4.27
Energy (eV/atom): -5.133
Formation energy without anion corrections (eV per atom): -0.8387

Geometry as CIF:
```
data_YAlSe2
_symmetry_space_group_name_H-M 'I -4 2 d'
_symmetry_Int_Tables_number 122
_symmetry_space_group_name_Hall 'I -4 2bw'
_cell_length_a 7.499
_cell_length_b 7.499
_cell_length_c 7.573
_cell_angle_alpha 90.00
_cell_angle_beta 90.00
_cell_angle_gamma 90.00
loop_
_atom_site_label
_atom_site_type_symbol
_atom_site_fract_x
_atom_site_fract_y
_atom_site_fract_z
_atom_site_occupancy
Y1 Y 0.000 0.000 0.000 1
Al1 Al 0.000 0.000 0.500 1
Se1 Se 0.245 0.250 0.125 1
```



(6)
A plane-wave DFT calculation with PBE was carried out for an optimized crystal structure of CaZn3Ag.

Output
Magnetic moment (μB per formula unit): 0.00
Calculated density (g/cm³): 3.15
Energy (eV/atom): -0.882

Geometry as CIF:
```
data_CaZn3Ag
_symmetry_space_group_name_H-M 'P m -3 m'
_symmetry_Int_Tables_number 221
_symmetry_space_group_name_Hall '-P 4 2 3'
_cell_length_a 5.662
_cell_length_b 5.662
_cell_length_c 5.662
_cell_angle_alpha 90.00
_cell_angle_beta 90.00
_cell_angle_gamma 90.00
loop_
_atom_site_label
_atom_site_type_symbol
_atom_site_fract_x
_atom_site_fract_y
_atom_site_fract_z
_atom_site_occupancy
Ca1 Ca 0.000 0.000 0.000 1
Zn1 Zn 0.000 0.000 0.500 1
Ag1 Ag 0.500 0.500 0.500 1
```



(7)
A plane-wave DFT calculation with PBE was carried out for an optimized crystal structure of Na2PmMnS4.

Output
Magnetic moment (μB per formula unit): 4.00
Calculated density (g/cm³): 3.57
Energy (eV/atom): -5.371
Formation energy without anion corrections (eV per atom): -1.2376

Geometry as CIF:
```
data_Na2PmMnS4
_symmetry_space_group_name_H-M 'C 1 2/c 1'
_symmetry_Int_Tables_number 15
_cell_length_a 11.074
_cell_length_b 10.954
_cell_length_c 7.894
_cell_angle_alpha 90.00
_cell_angle_beta 133.32
_cell_angle_gamma 90.00
loop_
_symmetry_equiv_pos_as_xyz
'x,y,z'
'-x,-y,-z'
'-x,y,-z+1/2'
'x,-y,z+1/2'
'x+1/2,y+1/2,z'
'-x+1/2,-y+1/2,-z'
'-x+1/2,y+1/2,-z+1/2'
'x+1/2,-y+1/2,z+1/2'
loop_
_atom_site_label
_atom_site_type_symbol
_atom_site_fract_x
_atom_site_fract_y
_atom_site_fract_z
_atom_site_occupancy
Na1 Na 0.000 0.000 0.000 1
Na2 Na 0.250 0.250 0.000 1
Pm1 Pm 0.250 0.250 0.500 1
Mn1 Mn 0.000 0.500 0.000 1
S1 S 0.005 0.277 0.010 1
S2 S 0.223 0.499 0.010 1
```



(8)
A plane-wave DFT calculation with PBE was carried out for an optimized crystal structure of YReP4.

Output
Magnetic moment (μB per formula unit): 0.49
Calculated density (g/cm³): 6.95
Energy (eV/atom): -6.284

Geometry as CIF:
```
data_YReP4
_symmetry_space_group_name_H-M 'F -4 3 m'
_symmetry_Int_Tables_number 216
_symmetry_space_group_name_Hall 'F -4 2 3'
_cell_length_a 7.253
_cell_length_b 7.253
_cell_length_c 7.253
_cell_angle_alpha 90.00
_cell_angle_beta 90.00
_cell_angle_gamma 90.00
loop_
_atom_site_label
_atom_site_type_symbol
_atom_site_fract_x
_atom_site_fract_y
_atom_site_fract_z
_atom_site_occupancy
Y1 Y 0.000 0.000 0.000 1
Re1 Re 0.250 0.250 0.750 1
P1 P 0.123 0.123 0.377 1
```



(9)
A plane-wave DFT calculation with PBE was carried out for an optimized crystal structure of Ho2InTe.

Output
Magnetic moment (μB per formula unit): 0.00
Calculated density (g/cm³): 8.08
Energy (eV/atom): -4.492
Formation energy without anion corrections (eV per atom): -0.7332

Geometry as CIF:
```
data_Ho2InTe
_symmetry_space_group_name_H-M 'R 3 m'
_symmetry_Int_Tables_number 160
_symmetry_space_group_name_Hall 'R 3 -2"'
_cell_length_a 4.0076
_cell_length_b 4.0076
_cell_length_c 25.3655
_cell_angle_alpha 90.00
_cell_angle_beta 90.00
_cell_angle_gamma 120.00
loop_
_atom_site_label
_atom_site_type_symbol
_atom_site_fract_x
_atom_site_fract_y
_atom_site_fract_z
_atom_site_occupancy
Ho1 Ho 0.0000 0.0000 0.0000 1
Ho2 Ho 0.0000 0.0000 0.1768 1
In1 In 0.0000 0.0000 0.7556 1
Te1 Te 0.0000 0.0000 0.5875 1
```



(10)
A plane-wave DFT calculation with PBE was carried out for an optimized crystal structure of La2ZnPd2.

Output
Magnetic moment (μB per formula unit): 0.00
Calculated density (g/cm³): 7.19
Energy (eV/atom): -4.893

Geometry as CIF:
```
data_La2ZnPd2
_symmetry_space_group_name_H-M 'I 4/m m m'
_symmetry_Int_Tables_number 139
_symmetry_space_group_name_Hall '-I 4 2'
_cell_length_a 5.704
_cell_length_b 5.704
_cell_length_c 7.891
_cell_angle_alpha 90.00
_cell_angle_beta 90.00
_cell_angle_gamma 90.00
loop_
_atom_site_label
_atom_site_type_symbol
_atom_site_fract_x
_atom_site_fract_y
_atom_site_fract_z
_atom_site_occupancy
La1 La 0.000 0.500 0.250 1
Zn1 Zn 0.000 0.000 0.000 1
Pd1 Pd 0.000 0.000 0.333 1
```



(11)
A plane-wave DFT calculation with PBE was carried out for an optimized crystal structure of Pm3Ni4Ge2.

Output
Magnetic moment (μB per formula unit): 0.00
Calculated density (g/cm³): 7.73
Energy (eV/atom): -5.738

Geometry as CIF:
```
data_Pm3Ni4Ge2
_symmetry_space_group_name_H-M 'C 1 2/m 1'
_symmetry_Int_Tables_number 12
_cell_length_a 10.753
_cell_length_b 4.074
_cell_length_c 8.234
_cell_angle_alpha 90.00
_cell_angle_beta 103.84
_cell_angle_gamma 90.00
loop_
_symmetry_equiv_pos_as_xyz
'x,y,z'
'-x,-y,-z'
'-x,y,-z'
'x,-y,z'
'x+1/2,y+1/2,z'
'-x+1/2,-y+1/2,-z'
'-x+1/2,y+1/2,-z'
'x+1/2,-y+1/2,z'
loop_
_atom_site_label
_atom_site_type_symbol
_atom_site_fract_x
_atom_site_fract_y
_atom_site_fract_z
_atom_site_occupancy
Pm1 Pm 0.000 0.000 0.000 1
Pm2 Pm 0.162 0.500 0.671 1
Ni1 Ni 0.055 0.000 0.389 1
Ni2 Ni 0.223 0.500 0.060 1
Ge1 Ge 0.114 0.500 0.282 1
```



(12)
A plane-wave DFT calculation with PBE was carried out for an optimized crystal structure of TeOsAu.

Output
Magnetic moment (μB per formula unit): 0.00
Calculated density (g/cm³): 13.83
Energy (eV/atom): -5.334
Formation energy without anion corrections (eV per atom): 0.5487

Geometry as CIF:
```
data_TeOsAu
_symmetry_space_group_name_H-M 'I 4 m m'
_symmetry_Int_Tables_number 107
_symmetry_space_group_name_Hall 'I 4 -2'
_cell_length_a 3.148
_cell_length_b 3.148
_cell_length_c 12.475
_cell_angle_alpha 90.00
_cell_angle_beta 90.00
_cell_angle_gamma 90.00
loop_
_atom_site_label
_atom_site_type_symbol
_atom_site_fract_x
_atom_site_fract_y
_atom_site_fract_z
_atom_site_occupancy
Te1 Te 0.000 0.000 0.000 1
Os1 Os 0.000 0.000 0.621 1
Au1 Au 0.000 0.000 0.269 1
```